The following is a DFT calculation (PBE-GGA) of a geometry-optimized Ac3ScTl4 structure.

abc: 3.882 3.882 16.989
angles: 90.00 90.00 90.00
Fractional coordinates of all 8 atoms:
Sc (0.500, 0.500, 0.000)
Ac (0.500, 0.500, 0.231)
Ac (0.500, 0.500, 0.500)
Ac (0.500, 0.500, 0.769)
Tl (0.000, 0.000, 0.904)
Tl (0.000, 0.000, 0.096)
Tl (0.000, 0.000, 0.365)
Tl (0.000, 0.000, 0.635)

Summary:
Total energy, eV per atom: -3.830
Theoretical density, g cm⁻³: 10.0

The following is a DFT calculation (PBE-GGA) of a geometry-optimized AcTmSc2 structure.

abc: 3.972 3.972 7.721
angles: 90.00 90.00 90.00
Fractional coordinates of all 4 atoms:
Sc (0.000, 0.000, 0.776)
Sc (0.000, 0.000, 0.224)
Ac (0.500, 0.500, 0.500)
Tm (0.500, 0.500, 0.000)

Summary:
Offset from the most stable computed form, meV per atom: 0.0
Theoretical density, g cm⁻³: 6.6

The following is a DFT calculation (PBE-GGA) of a geometry-optimized AcTm2Sc structure.

abc: 3.607 3.607 11.577
angles: 81.04 81.04 60.00
Fractional coordinates of all 4 atoms:
Ac (0.501, 0.501, 0.498)
Tm (0.076, 0.076, 0.771)
Tm (0.257, 0.257, 0.229)
Sc (0.666, 0.666, 0.002)

Summary:
Offset from the most stable computed form, meV per atom: 26.8
Theoretical density, g cm⁻³: 7.9

Q: The lowest theoretical density belongs to which entry?
A: AcTmSc2